No. 1
The following is a PBE-GGA calculation of a relaxed Hf2MgTl crystal, from Alexandria.

```
data_Hf2MgTl
_cell_length_a 4.3744
_cell_length_b 4.3744
_cell_length_c 4.5324
_cell_angle_alpha 90.00
_cell_angle_beta 90.00
_cell_angle_gamma 90.00
_space_group_name_H-M_alt 'P 1'
_space_group_IT_number 1
_space_group_name_Hall 'P 1'
loop_
_atom_site_label
_atom_site_type_symbol
_atom_site_fract_x
_atom_site_fract_y
_atom_site_fract_z
Hf1 Hf 0.0000 0.5000 0.0000
Hf2 Hf 0.5000 0.0000 0.0000
Mg1 Mg 0.0000 0.0000 0.5000
Tl1 Tl 0.5000 0.5000 0.5000
```

No. 2
The following is a PBE-GGA calculation of a relaxed HfMg2Tl crystal, from Alexandria.

```
data_HfMg2Tl
_cell_length_a 8.0821
_cell_length_b 8.0821
_cell_length_c 5.9357
_cell_angle_alpha 90.00
_cell_angle_beta 90.00
_cell_angle_gamma 90.00
_space_group_name_H-M_alt 'P 1'
_space_group_IT_number 1
_space_group_name_Hall 'P 1'
loop_
_atom_site_label
_atom_site_type_symbol
_atom_site_fract_x
_atom_site_fract_y
_atom_site_fract_z
Hf1 Hf 0.0000 0.0000 0.0000
Hf2 Hf 0.0000 0.5000 0.2500
Hf3 Hf 0.5000 0.0000 0.7500
Hf4 Hf 0.5000 0.5000 0.5000
Mg1 Mg 0.2296 0.2500 0.6250
Mg2 Mg 0.2500 0.7296 0.8750
Mg3 Mg 0.2500 0.7704 0.3750
Mg4 Mg 0.2704 0.2500 0.1250
Mg5 Mg 0.7296 0.7500 0.1250
Mg6 Mg 0.7500 0.2296 0.3750
Mg7 Mg 0.7500 0.2704 0.8750
Mg8 Mg 0.7704 0.7500 0.6250
Tl1 Tl 0.0000 0.0000 0.5000
Tl2 Tl 0.0000 0.5000 0.7500
Tl3 Tl 0.5000 0.0000 0.2500
Tl4 Tl 0.5000 0.5000 0.0000
```

* excess energy over the best structure of this formula in the dataset: 387 meV per atom

No. 3
The following is a PBE-GGA calculation of a relaxed HfMg2Tl crystal, from Alexandria.

```
data_HfMg2Tl
_cell_length_a 4.3755
_cell_length_b 4.3755
_cell_length_c 4.5049
_cell_angle_alpha 90.00
_cell_angle_beta 90.00
_cell_angle_gamma 90.00
_space_group_name_H-M_alt 'P 1'
_space_group_IT_number 1
_space_group_name_Hall 'P 1'
loop_
_atom_site_label
_atom_site_type_symbol
_atom_site_fract_x
_atom_site_fract_y
_atom_site_fract_z
Hf1 Hf 0.0000 0.0000 0.0000
Mg1 Mg 0.0000 0.5000 0.5000
Mg2 Mg 0.5000 0.0000 0.5000
Tl1 Tl 0.5000 0.5000 0.0000
```

* excess energy over the best structure of this formula in the dataset: 0 meV per atom

No. 4
The following is a PBE-GGA calculation of a relaxed HfMgTl3 crystal, from Alexandria.

```
data_HfMgTl3
_cell_length_a 5.6569
_cell_length_b 5.6569
_cell_length_c 5.6569
_cell_angle_alpha 90.00
_cell_angle_beta 90.00
_cell_angle_gamma 90.00
_space_group_name_H-M_alt 'P 1'
_space_group_IT_number 1
_space_group_name_Hall 'P 1'
loop_
_atom_site_label
_atom_site_type_symbol
_atom_site_fract_x
_atom_site_fract_y
_atom_site_fract_z
Hf1 Hf 0.0000 0.0000 0.0000
Mg1 Mg 0.5000 0.5000 0.5000
Tl1 Tl 0.0000 0.0000 0.5000
Tl2 Tl 0.0000 0.5000 0.0000
Tl3 Tl 0.5000 0.0000 0.0000
```

* excess energy over the best structure of this formula in the dataset: 0 meV per atom

No. 5
The following is a PBE-GGA calculation of a relaxed Hf2MgTl crystal, from Alexandria.

```
data_Hf2MgTl
_cell_length_a 3.1129
_cell_length_b 3.1129
_cell_length_c 33.9900
_cell_angle_alpha 90.00
_cell_angle_beta 90.00
_cell_angle_gamma 120.00
_space_group_name_H-M_alt 'P 1'
_space_group_IT_number 1
_space_group_name_Hall 'P 1'
loop_
_atom_site_label
_atom_site_type_symbol
_atom_site_fract_x
_atom_site_fract_y
_atom_site_fract_z
Hf1 Hf 0.0000 0.0000 0.0888
Hf2 Hf 0.0000 0.0000 0.9112
Hf3 Hf 0.3333 0.6667 0.5779
Hf4 Hf 0.3333 0.6667 0.7554
Hf5 Hf 0.6667 0.3333 0.2446
Hf6 Hf 0.6667 0.3333 0.4221
Mg1 Mg 0.0000 0.0000 0.0000
Mg2 Mg 0.3333 0.6667 0.6667
Mg3 Mg 0.6667 0.3333 0.3333
Tl1 Tl 0.0000 0.0000 0.5000
Tl2 Tl 0.3333 0.6667 0.1667
Tl3 Tl 0.6667 0.3333 0.8333
```

No. 6
The following is a PBE-GGA calculation of a relaxed Hf2MgTl2 crystal, from Alexandria.

```
data_Hf2MgTl2
_cell_length_a 7.4153
_cell_length_b 7.4153
_cell_length_c 4.1675
_cell_angle_alpha 90.00
_cell_angle_beta 90.00
_cell_angle_gamma 90.00
_space_group_name_H-M_alt 'P 1'
_space_group_IT_number 1
_space_group_name_Hall 'P 1'
loop_
_atom_site_label
_atom_site_type_symbol
_atom_site_fract_x
_atom_site_fract_y
_atom_site_fract_z
Hf1 Hf 0.1702 0.3298 0.0000
Hf2 Hf 0.3298 0.8298 0.0000
Hf3 Hf 0.6702 0.1702 0.0000
Hf4 Hf 0.8298 0.6702 0.0000
Mg1 Mg 0.0000 0.0000 0.5000
Mg2 Mg 0.5000 0.5000 0.5000
Tl1 Tl 0.1373 0.6373 0.5000
Tl2 Tl 0.3627 0.1373 0.5000
Tl3 Tl 0.6373 0.8627 0.5000
Tl4 Tl 0.8627 0.3627 0.5000
```

* excess energy over the best structure of this formula in the dataset: 0 meV per atom

Magnetization, respectively: 0.00; 0.00; 0.00; 0.00; 0.00; 0.00 μB/f.u..
Energy of formation, respectively: 0.282; 1.614; 0.068; 3.059; 1.508; 1.023 eV/f.u..